# 1
Here is a relaxed Th6Co3C2S crystal from Alexandria via LeMat-Bulk. Energies are from GGA-PBE.

```
Th6Co3C2S
1.0
8.557 -1.914 0.000
8.557 1.914 0.000
-2.339 0.000 7.908
Th Co C S
6 3 2 1
Cartesian
-0.497 0.000 2.106
3.421 0.000 7.109
4.630 0.000 3.415
10.145 0.000 4.493
11.355 0.000 0.799
15.273 0.000 5.802
0.844 0.000 6.525
7.388 0.000 3.954
13.932 0.000 1.383
2.084 0.000 2.616
12.692 0.000 5.292
8.557 0.000 0.000
```

Symmetry: C2/m
E_form (uncorrected), meV/atom: -415
Calculated density, g cm⁻³: 10.4
Total magnetic moment, μB per atom: 0.000

# 2
Here is a relaxed Fe2HgMo crystal from Alexandria via LeMat-Bulk. Energies are from GGA-PBE.

```
Fe2HgMo
1.0
3.162 0.000 0.000
0.000 3.162 0.000
0.000 0.000 6.007
Fe Hg Mo
2 1 1
Cartesian
0.000 0.000 1.248
0.000 0.000 4.759
1.581 1.581 3.003
1.581 1.581 0.000
```

Symmetry: P4/mmm
DFT formation energy, eV/atom: 0.339
Calculated density, g cm⁻³: 11.3
Total magnetic moment, μB per atom: 0.877

# 3
Here is a relaxed Li4SnPb crystal from Alexandria via LeMat-Bulk. Energies are from GGA-PBE.

```
Li4SnPb
1.0
-2.337 3.078 4.058
2.337 -3.078 4.058
2.337 3.078 -4.058
Li Sn Pb
4 1 1
Cartesian
2.337 -1.562 2.708
0.000 1.516 1.350
2.337 1.562 2.708
0.000 4.640 1.350
2.337 0.000 0.000
0.000 0.000 4.058
```

Symmetry: Immm
Energy above the lowest structure with this stoichiometry, eV per formula unit: 0.000
DFT formation energy, eV/atom: -0.324
Calculated density, g cm⁻³: 5.0
Total magnetic moment, μB per atom: 0.000

# 4
Here is a relaxed Ag2RhPb crystal from Alexandria via LeMat-Bulk. Energies are from GGA-PBE.

```
Ag2RhPb
1.0
-1.962 1.962 10.409
1.962 -1.962 10.409
1.962 1.962 -10.409
Ag Rh Pb
4 2 2
Cartesian
2.943 0.943 -2.602
0.943 0.981 2.602
-0.981 1.019 7.807
1.019 0.981 13.012
0.000 0.000 0.000
0.000 1.962 5.205
1.962 0.000 5.205
0.000 0.000 10.409
```

Symmetry: I-42d
DFT formation energy, eV/atom: 0.233
Calculated density, g cm⁻³: 10.9
Total magnetic moment, μB per atom: 0.000

# 5
Here is a relaxed Sm3RuCl3 crystal from Alexandria via LeMat-Bulk. Energies are from GGA-PBE.

```
Sm3RuCl3
1.0
8.500 0.000 0.000
0.000 4.115 0.000
-0.075 0.000 11.887
Sm Ru Cl
6 2 6
Cartesian
0.861 1.029 1.993
1.191 1.029 7.597
2.394 3.086 4.745
6.031 1.029 7.142
7.234 3.086 4.290
7.564 3.086 9.894
0.480 1.029 4.765
7.945 3.086 7.122
0.921 1.029 10.720
2.757 3.086 1.822
3.646 3.086 7.433
4.779 1.029 4.454
5.668 1.029 10.065
7.504 3.086 1.166
```

Symmetry: P2_1/m
E_form (uncorrected), meV/atom: -1448
Calculated density, g cm⁻³: 5.3
Total magnetic moment, μB per atom: 0.000

# 6
Here is a relaxed BaSb2TeS crystal from Alexandria via LeMat-Bulk. Energies are from GGA-PBE.

```
BaSb2TeS
1.0
6.461 0.000 0.000
0.000 6.461 0.000
0.000 0.000 6.377
Ba Sb Te S
1 2 1 1
Cartesian
0.000 0.000 0.000
0.000 3.230 0.000
3.230 0.000 0.000
0.000 0.000 3.189
3.230 3.230 3.189
```

Symmetry: P4/mmm
E_form (uncorrected), meV/atom: 1127
Energy above the lowest structure with this stoichiometry, eV per formula unit: 6.998
Calculated density, g cm⁻³: 3.4
Total magnetic moment, μB per atom: 0.436